Version w
The following is a DFT calculation (PBEsol) of a relaxed YZrAg crystal.

Cell and atoms, written as POSCAR:
```
YZrAg
1.0
3.2684 0.0000 0.0000
-1.6342 2.8305 0.0000
0.0000 0.0000 7.3762
Ag Y Zr
1 1 1
Direct
0.0000 0.0000 0.0085
0.3333 0.6667 0.6725
0.6667 0.3333 0.3190
```

Computed properties:
Magnetic moment ... 0.000 Bohr magnetons per cell
Crystal system ... trigonal
Mass density ... 7.008 Mg/m³

=====

Version x
The following is a DFT calculation (PBEsol) of a relaxed YZrAg crystal.

Cell and atoms, written as POSCAR:
```
YZrAg
1.0
-1.5351 1.1874 -4.3656
-2.5869 -3.1042 -2.5489
-4.6456 0.8176 -0.7583
Zr Y Ag
1 1 1
Direct
0.5000 0.5000 0.5000
0.0000 0.0000 0.0000
0.2500 0.2500 0.2500
```

Computed properties:
Magnetic moment ... 1.232 Bohr magnetons per cell
Crystal system ... cubic
Mass density ... 6.202 Mg/m³

=====

Least stable of them? version x.